Material: Na3Pm3TlO8
Method: DFT, PBE-GGA
State: optimized geometry

```
data_Na3Pm3TlO8
_space_group_name_H-M_alt 'R -3 m'
_space_group_IT_number 166
_space_group_name_Hall '-R 3 2"'
_cell_length_a 7.0768
_cell_length_b 7.0768
_cell_length_c 16.7503
_cell_angle_alpha 90.00
_cell_angle_beta 90.00
_cell_angle_gamma 120.00
loop_
_atom_site_label
_atom_site_type_symbol
_atom_site_fract_x
_atom_site_fract_y
_atom_site_fract_z
_atom_site_occupancy
Na1 Na 0.0000 0.5000 0.0000 1
Pm1 Pm 0.0000 0.5000 0.5000 1
Tl1 Tl 0.0000 0.0000 0.5000 1
O1 O 0.0000 0.0000 0.2365 1
O2 O 0.0141 0.5070 0.2379 1
```

## Properties
Formation energy without anion corrections (eV/atom): -2.16

Material: CaIn4SnRh2
Method: DFT, PBE-GGA
State: optimized geometry

```
data_CaIn4SnRh2
_space_group_name_H-M_alt 'P 4/m m m'
_space_group_IT_number 123
_space_group_name_Hall '-P 4 2'
_cell_length_a 4.163
_cell_length_b 4.163
_cell_length_c 11.541
_cell_angle_alpha 90.00
_cell_angle_beta 90.00
_cell_angle_gamma 90.00
loop_
_atom_site_label
_atom_site_type_symbol
_atom_site_fract_x
_atom_site_fract_y
_atom_site_fract_z
_atom_site_occupancy
Ca1 Ca 0.000 0.000 0.000 1
In1 In 0.000 0.500 0.233 1
Sn1 Sn 0.000 0.000 0.500 1
Rh1 Rh 0.500 0.500 0.388 1
```

## Properties
Formation energy (eV/atom): -0.04